[1]
This record from Alexandria via LeMat-Bulk describes crystalline Li2HgP at its relaxed geometry. The functional is PBE.

Cell lengths 4.0400, 4.0400, 8.1604 Å; angles 90.00, 90.00, 90.00 degrees
Closest atoms and distances in Å follow each position.
Space group I-4m2 (No. 119)
One atom of each set of equivalent atoms:
Li 0.0000 0.0000 0.0000 x2  4 Hg 2.86, 4 Li 2.87, 4 P 2.87
Li 0.0000 0.5000 0.2500 x2  4 P 2.86, 4 Hg 2.87, 4 Li 2.87
Hg 0.0000 0.0000 0.5000 x2  8 Li 2.86-2.87, 4 P 2.87
P 0.0000 0.5000 0.7500 x2  8 Li 2.86-2.87, 4 Hg 2.87

Formation energy from the elements (eV per atom): -0.2671
Raw total energy (Ry per atom): -0.1949



[2]
This record from Alexandria via LeMat-Bulk describes crystalline CeGeN at its relaxed geometry. The functional is PBE.

Cell lengths 3.8215, 3.8215, 5.0227 Å; angles 90.00, 90.00, 120.00 degrees
Closest atoms and distances in Å follow each position.
Space group P3m1 (No. 156)
One atom of each set of equivalent atoms:
Ce 0.0000 0.0000 0.0000 x1  3 N 2.21
Ge 0.3333 0.6667 0.5002 x1  6 N 3.33-3.35, 6 Ce 3.34
N 0.6667 0.3333 0.9977 x1  3 Ce 2.21

Polymorph energy (0 for the lowest one) (eV per atom): 0.5659
ΔE_f (raw) (eV/atom): -0.43
Raw total energy (Ry per atom): -0.4942



[3]
This record from Alexandria via LeMat-Bulk describes crystalline Cs2K2I2O at its relaxed geometry. The functional is PBE.

Cell lengths 17.4053, 4.7044, 7.9488 Å; angles 90.00, 117.07, 90.00 degrees
Closest atoms and distances in Å follow each position.
Space group C2/m (No. 12)
One atom of each set of equivalent atoms:
Cs 0.0010 0.0000 0.2459 x4  2 O 3.05
K 0.1651 0.5000 0.1614 x4  1 O 2.56
I 0.1693 0.5000 0.6703 x4  2 K 3.48
O 0.0000 0.5000 0.0000 x2  2 K 2.56

ΔE_f (raw) (eV/atom): -1.28
Raw total energy (Ry per atom): -0.2198



[4]
This record from Alexandria via LeMat-Bulk describes crystalline TmB6N6 at its relaxed geometry. The functional is PBE.

Cell lengths 4.6338, 4.6338, 4.6338 Å; angles 90.00, 90.00, 90.00 degrees
Closest atoms and distances in Å follow each position.
Space group Pm-3 (No. 200)
One atom of each set of equivalent atoms:
Tm 0.0000 0.0000 0.0000 x1  12 B 2.57, 12 N 2.59
B 0.0000 0.2377 0.5000 x6  4 N 1.60-1.68
N 0.0000 0.5000 0.2492 x6  4 B 1.60-1.68

ΔE_f (raw) (eV/atom): -0.23
Raw total energy (Ry per atom): -0.5510



[5]
This record from Alexandria via LeMat-Bulk describes crystalline PmTm3Bi4 at its relaxed geometry. The functional is PBE.

Cell lengths 6.3207, 6.3207, 6.3207 Å; angles 90.00, 90.00, 90.00 degrees
Closest atoms and distances in Å follow each position.
Space group Pm-3m (No. 221)
One atom of each set of equivalent atoms:
Pm 0.0000 0.0000 0.0000 x1  6 Bi 3.16
Tm 0.0000 0.5000 0.5000 x3  6 Bi 3.16
Bi 0.0000 0.0000 0.5000 x3  4 Tm 3.16, 2 Pm 3.16
Bi 0.5000 0.5000 0.5000 x1  6 Tm 3.16

Formation energy from the elements (eV per atom): -0.8154
Raw total energy (Ry per atom): -0.3694



[6]
This record from Alexandria via LeMat-Bulk describes crystalline Zn2Cu2Ag at its relaxed geometry. The functional is PBE.

Cell lengths 7.0651, 7.0651, 2.8713 Å; angles 90.00, 90.00, 90.00 degrees
Closest atoms and distances in Å follow each position.
Space group P4/mbm (No. 127)
One atom of each set of equivalent atoms:
Zn 0.1327 0.3673 0.0000 x4  6 Cu 2.49-2.55, 1 Zn 2.65, 2 Ag 2.76
Cu 0.1636 0.6636 0.5000 x4  6 Zn 2.49-2.55
Ag 0.0000 0.0000 0.0000 x2  4 Zn 2.76, 2 Ag 2.87, 8 Cu 3.01

Polymorph energy (0 for the lowest one) (eV per atom): 0.0158
Formation energy from the elements (eV per atom): -0.0077
Raw total energy (Ry per atom): -0.2004



[7]
This record from Alexandria via LeMat-Bulk describes crystalline Pr6Ir2I3N at its relaxed geometry. The functional is PBE.

Cell lengths 7.1582, 12.3641, 8.4437 Å; angles 90.00, 106.21, 90.00 degrees
Closest atoms and distances in Å follow each position.
Space group C2/m (No. 12)
One atom of each set of equivalent atoms:
Pr 0.2155 0.1566 0.1774 x8  1 N 2.66, 2 Ir 2.85
Pr 0.2446 0.5000 0.1788 x4  1 N 2.68, 2 Ir 2.85
Ir 0.0000 0.3333 0.0000 x4  6 Pr 2.85
I 0.0000 0.1681 0.5000 x4  6 Pr 3.49-3.63
I 0.0000 0.5000 0.5000 x2  6 Pr 3.50-3.62
N 0.0000 0.0000 0.0000 x2  6 Pr 2.66-2.68

ΔE_f (raw) (eV/atom): -0.99
Raw total energy (Ry per atom): -0.4365



[8]
This record from Alexandria via LeMat-Bulk describes crystalline PuTaN4 at its relaxed geometry. The functional is PBE.

Cell lengths 5.2418, 4.9631, 5.8007 Å; angles 90.00, 90.00, 90.00 degrees
Closest atoms and distances in Å follow each position.
Space group Pnc2 (No. 30)
One atom of each set of equivalent atoms:
Pu 0.0000 0.0000 0.0000 x2  6 N 2.03-2.20
Ta 0.5000 0.0000 0.3407 x2  6 N 2.03-2.25
N 0.1883 0.2284 0.2540 x4  1 Ta 2.05, 2 Pu 2.10-2.20
N 0.3230 0.7205 0.5414 x4  1 Pu 2.03, 2 Ta 2.03-2.25

ΔE_f (raw) (eV/atom): -0.52
Raw total energy (Ry per atom): -0.7672



[9]
This record from Alexandria via LeMat-Bulk describes crystalline PaCuPd at its relaxed geometry. The functional is PBE.

Cell lengths 3.2571, 3.2571, 10.2316 Å; angles 90.00, 90.00, 90.00 degrees
Closest atoms and distances in Å follow each position.
Space group I4mm (No. 107)
One atom of each set of equivalent atoms:
Pa 0.0000 0.0000 0.0000 x2  5 Pd 2.98-3.22, 5 Cu 2.98-3.22, 4 Pa 3.26
Cu 0.0000 0.0000 0.3151 x2  4 Pd 2.66
Pd 0.0000 0.0000 0.6849 x2  4 Cu 2.66

Polymorph energy (0 for the lowest one) (eV per atom): 0.1266
Formation energy from the elements (eV per atom): -0.2295
Raw total energy (Ry per atom): -0.4771



[10]
This record from Alexandria via LeMat-Bulk describes crystalline Dy2Hg2Pt at its relaxed geometry. The functional is PBE.

Cell lengths 3.5649, 19.8183, 3.4636 Å; angles 90.00, 90.00, 90.00 degrees
Closest atoms and distances in Å follow each position.
Space group Cmmm (No. 65)
One atom of each set of equivalent atoms:
Dy 0.0000 0.0855 0.0000 x4  4 Pt 3.01, 4 Hg 3.24
Hg 0.0000 0.3095 0.5000 x4  2 Hg 2.96, 4 Dy 3.24
Pt 0.0000 0.5000 0.5000 x2  8 Dy 3.01

Formation energy from the elements (eV per atom): -0.6582
Raw total energy (Ry per atom): -0.2813



[11]
This record from Alexandria via LeMat-Bulk describes crystalline Tm4InHg2Rh at its relaxed geometry. The functional is PBE.

Cell lengths 5.1276, 5.1276, 24.8322 Å; angles 90.00, 90.00, 120.00 degrees
Closest atoms and distances in Å follow each position.
Space group R-3m (No. 166, hexagonal axes)
One atom of each set of equivalent atoms:
Tm 0.0000 0.0000 0.1141 x6  1 Rh 2.83, 3 Hg 3.01
Tm 0.0000 0.0000 0.3678 x6  3 Rh 3.08, 4 Hg 3.12-3.28, 1 In 3.28, 3 Tm 3.42
In 0.0000 0.0000 0.5000 x3  8 Tm 3.24-3.28, 6 Hg 3.50
Hg 0.0000 0.0000 0.2421 x6  8 Tm 3.01-3.28
Rh 0.0000 0.0000 0.0000 x3  8 Tm 2.83-3.08

Formation energy from the elements (eV per atom): -0.5761
Raw total energy (Ry per atom): -0.3049



[12]
This record from Alexandria via LeMat-Bulk describes crystalline Li2PrVN4 at its relaxed geometry. The functional is PBE.

Cell lengths 5.3861, 5.3861, 6.7936 Å; angles 90.00, 90.00, 90.00 degrees
Closest atoms and distances in Å follow each position.
Space group I-42m (No. 121)
One atom of each set of equivalent atoms:
Li 0.0000 0.5000 0.2500 x4  4 N 2.06
Pr 0.0000 0.0000 0.0000 x2  8 N 2.52-2.82
V 0.0000 0.0000 0.5000 x2  4 N 1.81
N 0.1972 0.1972 0.3508 x8  1 V 1.81

ΔE_f (raw) (eV/atom): -0.57
Raw total energy (Ry per atom): -0.5107